Below is an optimized crystal structure of Na5Mn2P2C2O14, with properties calculated at the PBE with a Hubbard U level.

Cell: 5.279 6.614 9.096 Å, 93.37 90.36 90.16°
Space group P1 (No. 1)
Symmetry-distinct sites (fractional):
1 Na 0.000 0.000 0.000 (multiplicity 1)
2 Na 0.008 0.505 0.995 (multiplicity 1)
3 Na 0.041 0.240 0.650 (multiplicity 1)
4 Na 0.484 0.764 0.812 (multiplicity 1)
5 Na 0.503 0.523 0.478 (multiplicity 1)
6 Mn 0.041 0.788 0.388 (multiplicity 1)
7 Mn 0.481 0.258 0.095 (multiplicity 1)
8 P 0.563 0.760 0.158 (multiplicity 1)
9 P 0.957 0.280 0.318 (multiplicity 1)
10 C 0.529 0.268 0.802 (multiplicity 1)
11 C 0.986 0.764 0.682 (multiplicity 1)
12 O 0.009 0.742 0.822 (multiplicity 1)
13 O 0.013 0.096 0.411 (multiplicity 1)
14 O 0.039 0.470 0.415 (multiplicity 1)
15 O 0.096 0.265 0.168 (multiplicity 1)
16 O 0.192 0.795 0.605 (multiplicity 1)
17 O 0.322 0.240 0.881 (multiplicity 1)
18 O 0.419 0.762 0.303 (multiplicity 1)
19 O 0.498 0.570 0.053 (multiplicity 1)
20 O 0.499 0.943 0.063 (multiplicity 1)
21 O 0.506 0.320 0.671 (multiplicity 1)
22 O 0.667 0.295 0.286 (multiplicity 1)
23 O 0.747 0.243 0.867 (multiplicity 1)
24 O 0.771 0.761 0.615 (multiplicity 1)
25 O 0.858 0.762 0.186 (multiplicity 1)

Properties
- DOS at the Fermi energy: 0.140 states/eV/atom
- Polymorph energy (0 for the lowest one): 13 meV per atom